Entry i
# Sb2TePSe | Alexandria via LeMat-Bulk | PBE | relaxed
data_Sb2TePSe
_cell_length_a 5.238
_cell_length_b 5.238
_cell_length_c 5.192
_cell_angle_alpha 90.00
_cell_angle_beta 90.00
_cell_angle_gamma 90.00
_space_group_name_H-M_alt 'P 1'
_space_group_IT_number 1
loop_
_space_group_symop_operation_xyz
'x,y,z'
loop_
_atom_site_label
_atom_site_type_symbol
_atom_site_fract_x
_atom_site_fract_y
_atom_site_fract_z
Sb1 Sb 0.000 0.500 0.000
Sb2 Sb 0.500 0.000 0.000
Te1 Te 0.000 0.000 0.500
P1 P 0.000 0.000 0.000
Se1 Se 0.500 0.500 0.500
# M_tot (Bohr magnetons per cell): 0.0
# Space-group type: P4/mmm

***

Entry ii
# Sb2TePSe | Alexandria via LeMat-Bulk | PBE | relaxed
data_Sb2TePSe
_cell_length_a 5.427
_cell_length_b 5.427
_cell_length_c 5.318
_cell_angle_alpha 90.00
_cell_angle_beta 90.00
_cell_angle_gamma 90.00
_space_group_name_H-M_alt 'P 1'
_space_group_IT_number 1
loop_
_space_group_symop_operation_xyz
'x,y,z'
loop_
_atom_site_label
_atom_site_type_symbol
_atom_site_fract_x
_atom_site_fract_y
_atom_site_fract_z
Sb1 Sb 0.000 0.500 0.000
Sb2 Sb 0.500 0.000 0.000
Te1 Te 0.000 0.000 0.500
P1 P 0.500 0.500 0.500
Se1 Se 0.000 0.000 0.000
# M_tot (Bohr magnetons per cell): 0.0
# Space-group type: P4/mmm

***

Which is the most stable structure? entry i is the most stable.